DFT (PBE-GGA) results for an optimized crystal structure of Ta2CdRh.

POSCAR file:
```
Ta2CdRh
1.0
0.000 3.281 3.281
3.281 0.000 3.281
3.281 3.281 0.000
Rh Ta Cd
1 2 1
Cartesian
1.640 1.640 1.640
0.000 0.000 0.000
4.921 4.921 4.921
3.281 3.281 3.281
```

Values from the calculation:
Calculated volume, Å³/f.u.: 70.6
ΔH_f (0 K), eV/atom: 0.210
DOS(E_F), states/eV per cell: 4.26
Symmetry: F-43m (216)
Total energy, eV per atom: -7.78